<i>
5
Lattice="4.384 0.000 0.000 0.000 4.384 0.000 0.000 0.000 4.384" Properties=species:S:1:pos:R:3 comment="PBE-GGA ZrReF3, relaxed" magmom_total_mub_per_cell=4.00 pbc="T T T"
F 0.000 2.192 0.000
F 0.000 0.000 2.192
Re 2.192 2.192 2.192
F 2.192 0.000 0.000
Zr 0.000 0.000 0.000

---

<ii>
5
Lattice="-0.154 -1.112 4.099 0.957 -4.005 -1.051 4.138 0.885 0.396" Properties=species:S:1:pos:R:3 comment="PBE-GGA ZrReF3, relaxed" magmom_total_mub_per_cell=1.54 pbc="T T T"
F 0.479 -2.002 -0.526
Zr 2.470 -2.116 1.722
F -0.077 -0.556 2.049
Re 0.000 0.000 0.000
F 2.069 0.442 0.198

---

Relative to the most stable one, in kJ/mol of atoms, the structures come out at <i> 0.0; <ii> 68.1.

---

<i>
48
Lattice="-4.067 -2.849 -8.791 1.766 -5.365 0.922 -9.927 -4.891 6.178" Properties=species:S:1:pos:R:3 comment="PBE-GGA RhF5, relaxed" magmom_total_mub_per_cell=16.02 pbc="T T T"
F -11.577 -7.352 0.792
Rh -11.480 -8.347 -3.558
F -9.653 -7.966 -3.526
F -0.534 -5.965 0.244
F -6.173 -8.884 1.873
Rh -4.175 -8.474 1.796
F -7.788 -4.012 4.177
F -4.441 -9.092 -5.869
F -3.048 -4.723 -1.135
F -2.576 -5.139 1.834
F -3.373 -4.599 -3.770
F -0.950 -3.318 0.705
F -6.056 -4.221 -3.565
F -11.279 -9.787 -2.396
Rh -3.078 -2.177 -6.550
F -6.448 -8.723 -0.989
F -2.816 -7.210 -6.956
Rh -8.054 -4.631 -3.488
Rh -0.749 -4.757 1.867
F -4.560 -7.109 0.588
F -5.043 -6.515 -5.430
Rh -9.151 -10.928 4.859
F -5.781 -4.382 -0.703
F -4.110 -2.741 0.822
F -2.502 -7.461 -4.191
F -9.727 -5.644 2.499
F -7.881 -10.470 0.514
F -4.349 -2.635 -2.206
F -7.842 -5.767 -4.952
F -3.356 -4.005 -6.774
F -6.535 -8.514 -3.662
F -8.856 -8.506 2.079
F -7.669 -5.995 -2.280
F -8.874 -9.099 5.082
F -1.255 -2.512 -2.251
F -4.388 -7.338 3.260
F -5.695 -4.591 1.970
F -10.974 -10.592 0.560
F -4.850 -6.315 -2.318
Rh -7.731 -8.617 0.593
F -9.181 -8.381 -0.556
F -0.652 -5.753 -2.484
F -11.695 -7.139 -1.935
F -8.119 -10.363 -2.514
Rh -4.498 -4.488 -2.284
F -9.413 -5.894 5.265
F -7.186 -6.590 3.738
F -7.379 -6.789 0.626

---

<ii>
12
Lattice="-0.905 2.448 -4.940 -4.201 -1.861 3.179 1.440 4.777 5.798" Properties=species:S:1:pos:R:3 comment="PBE-GGA RhF5, relaxed" magmom_total_mub_per_cell=4.03 pbc="T T T"
F -3.303 1.115 -1.884
Rh 0.000 0.000 0.000
F -2.734 0.879 4.767
Rh 0.268 3.613 0.429
F -2.733 1.545 2.181
F -0.363 4.249 5.921
F -3.033 3.470 4.087
F -0.812 2.506 -3.067
F -0.933 3.820 1.856
F -0.633 1.894 -0.050
F -2.854 2.858 7.104
F -0.932 4.486 -0.730

---

Relative to the most stable one, in kJ/mol of atoms, the structures come out at <i> 0.0; <ii> 2.6.